Entry 1:
K5Pm3I12, optimized geometry, DFT PBE; formation energy without anion corrections = -1233 meV/atom
1.0
-10.348 10.348 10.348
10.348 -10.348 10.348
10.348 10.348 -10.348
K Pm I
20 12 48
Cartesian
0.000 0.000 0.000
5.174 5.174 -5.174
5.174 -5.174 5.174
10.348 0.000 0.000
15.522 2.587 0.000
10.348 -5.174 7.761
7.761 10.348 -5.174
7.761 0.000 5.174
5.174 7.761 0.000
10.348 5.174 2.587
-5.174 5.174 5.174
0.000 10.348 0.000
0.000 0.000 10.348
5.174 5.174 5.174
0.000 5.174 7.761
5.174 2.587 10.348
2.587 10.348 5.174
2.587 0.000 15.522
0.000 15.522 2.587
-5.174 7.761 10.348
5.174 2.587 0.000
10.348 5.174 -2.587
2.587 0.000 5.174
12.935 0.000 5.174
0.000 5.174 2.587
5.174 -2.587 10.348
5.174 12.935 0.000
10.348 5.174 7.761
-2.587 10.348 5.174
7.761 10.348 5.174
0.000 5.174 12.935
5.174 7.761 10.348
8.482 -4.096 4.739
17.387 -0.435 1.078
8.482 6.252 -4.739
7.039 0.435 1.078
10.782 9.270 -7.039
4.739 -1.865 4.096
4.096 4.739 -1.865
11.426 3.308 -0.435
6.252 -4.739 8.482
9.270 -7.039 10.782
4.739 8.482 -4.096
10.782 1.078 3.308
10.782 -1.078 7.039
15.087 1.865 4.096
6.252 4.739 1.865
9.270 7.039 -0.435
1.078 7.039 0.435
14.443 5.608 1.865
0.435 1.078 7.039
4.739 1.865 6.252
-1.865 4.096 4.739
7.039 -0.435 9.270
7.039 10.782 -1.078
8.482 4.096 5.608
1.865 6.252 4.739
3.308 -0.435 11.426
3.308 10.782 1.078
12.213 6.252 5.608
5.608 8.482 4.096
9.913 9.270 3.308
-4.096 4.739 8.482
9.270 3.308 9.913
1.078 3.308 10.782
4.096 5.608 8.482
-4.739 8.482 6.252
-0.435 11.426 3.308
-0.435 9.270 7.039
5.608 1.865 14.443
1.078 17.387 -0.435
4.096 15.087 1.865
-1.078 7.039 10.782
6.252 5.608 12.213
5.608 12.213 6.252
-0.435 1.078 17.387
3.308 9.913 9.270
1.865 4.096 15.087
-7.039 10.782 9.270
1.865 14.443 5.608


Entry 2:
TbRe2SiC, optimized geometry, DFT PBE; formation energy without anion corrections = -467 meV/atom
1.0
1.977 -5.448 0.000
1.977 5.448 0.000
0.000 0.000 7.331
Tb Re Si C
2 4 2 2
Cartesian
1.977 4.986 5.498
1.977 -4.986 1.833
1.977 1.900 4.110
1.977 1.900 6.886
1.977 -1.900 0.444
1.977 -1.900 3.221
1.977 2.888 1.833
1.977 -2.888 5.498
1.977 0.000 0.000
1.977 0.000 3.665


Entry 3:
Dy2HoZn2, optimized geometry, DFT PBE; energy relative to the lowest polymorph listed for this composition = 0.0 meV/atom; ΔH_f (0 K) = -0.2694 eV/atom
1.0
3.599 0.000 0.000
0.000 5.130 0.000
-1.806 0.000 13.167
Dy Ho Zn
4 2 4
Cartesian
0.000 1.282 1.210
-0.005 1.282 6.121
1.798 3.847 7.046
1.793 3.847 11.956
-0.001 3.847 3.782
1.794 1.282 9.385
-0.005 3.847 9.487
-0.005 1.282 11.861
1.798 3.847 1.306
1.798 1.282 3.680


Entry 4:
Y2MgSi, optimized geometry, DFT PBE; formation energy without anion corrections = -37 meV/atom
1.0
-4.063 4.063 3.323
4.063 -4.063 3.323
4.063 4.063 -3.323
Y Mg Si
4 2 2
Cartesian
6.095 1.715 -0.831
1.715 2.032 0.831
-2.032 2.348 2.492
2.348 2.032 4.153
4.063 0.000 1.661
0.000 0.000 3.323
0.000 0.000 0.000
0.000 4.063 1.661


Entry 5:
TaRe2Pt, optimized geometry, DFT PBE; energy relative to the lowest polymorph listed for this composition = 212.1 meV/atom; ΔH_f (0 K) = -0.0663 eV/atom
1.0
2.812 -3.992 0.000
2.812 3.992 0.000
0.000 0.000 2.807
Ta Re Pt
1 2 1
Cartesian
0.000 0.000 0.000
1.406 1.996 1.404
1.406 -1.996 1.404
2.812 0.000 0.000


Entry 6:
ZrCu3Ge, optimized geometry, DFT PBE; energy relative to the lowest polymorph listed for this composition = 0.0 meV/atom; ΔH_f (0 K) = 0.4086 eV/atom
1.0
4.423 0.000 0.000
0.000 4.423 0.000
0.000 0.000 4.423
Zr Cu Ge
1 3 1
Cartesian
0.000 0.000 0.000
0.000 2.211 2.211
2.211 0.000 2.211
2.211 2.211 0.000
2.211 2.211 2.211


Entry 7:
YTaGaC2, optimized geometry, DFT PBE; ΔH_f (0 K) = 2.5431 eV/atom
1.0
4.280 0.000 0.000
0.000 4.280 0.000
0.000 0.000 5.844
Y Ta Ga C
1 1 1 2
Cartesian
0.000 0.000 0.000
0.000 0.000 2.922
2.140 2.140 2.922
0.000 2.140 0.000
2.140 0.000 0.000


Entry 8:
RbDyPbCl6, optimized geometry, DFT PBE; formation energy without anion corrections = -1880 meV/atom
1.0
7.343 0.000 0.000
-3.672 6.360 0.000
0.000 0.000 7.081
Rb Dy Pb Cl
1 1 1 6
Cartesian
0.000 0.000 0.000
3.672 2.120 3.541
0.000 4.240 3.541
2.713 0.167 5.072
1.501 2.266 2.009
4.630 0.167 2.009
2.460 3.927 5.072
5.842 2.266 5.072
4.884 3.927 2.009


Entry 9:
ZnAs2HBr, optimized geometry, DFT PBE; energy relative to the lowest polymorph listed for this composition = 0.0 meV/atom
1.0
3.841 0.000 0.000
0.000 3.841 0.000
0.000 0.000 7.333
Zn As H Br
1 2 1 1
Cartesian
0.000 0.000 0.000
0.000 1.920 3.667
1.920 0.000 3.667
1.920 1.920 3.667
1.920 1.920 0.000


Entry 10:
Ca5Ga4Hg, optimized geometry, DFT PBE; ΔH_f (0 K) = -0.4637 eV/atom
1.0
3.722 0.000 0.000
0.000 3.722 0.000
0.000 0.000 18.215
Ca Ga Hg
5 4 1
Cartesian
0.000 0.000 0.000
0.000 0.000 3.583
0.000 0.000 7.170
0.000 0.000 11.045
0.000 0.000 14.632
1.861 1.861 1.813
1.861 1.861 5.345
1.861 1.861 12.870
1.861 1.861 16.403
1.861 1.861 9.108


Copy entry 7 word for word.
YTaGaC2, optimized geometry, DFT PBE; ΔH_f (0 K) = 2.5431 eV/atom
1.0
4.280 0.000 0.000
0.000 4.280 0.000
0.000 0.000 5.844
Y Ta Ga C
1 1 1 2
Cartesian
0.000 0.000 0.000
0.000 0.000 2.922
2.140 2.140 2.922
0.000 2.140 0.000
2.140 0.000 0.000